# La2CoW

Crystalline La2CoW at its relaxed geometry (PBE-GGA, the Alexandria database).

Unit cell a=6.3617 b=6.3617 c=6.3617 alpha=148.01 beta=134.32 gamma=56.85
With the nearest neighbours (Å) after each atom.
Fractional positions:
1 Co 0.3060 0.8060 0.5000  2 W 2.29
2 La 0.0244 0.0244 0.0000  4 W 3.18, 4 La 3.39-3.51, 2 Co 3.47
3 La 0.7318 0.2318 0.5000  4 Co 3.14, 2 W 3.38, 4 La 3.39-3.51
4 W 0.4378 0.4378 0.0000  2 Co 2.29

Output
Calculated formation energy   0.32 eV per atom
Crystal system   orthorhombic
VASP energy   -28.65 eV/cell
Energy above the most stable polymorph in this dataset   107.8 meV per atom



# LaCo2W

Crystalline LaCo2W at its relaxed geometry (PBE-GGA, the Alexandria database).

Unit cell a=4.7588 b=4.7588 c=2.8640 alpha=90.00 beta=90.00 gamma=90.06
With the nearest neighbours (Å) after each atom.
Fractional positions:
1 Co 0.0000 0.0000 0.0000  4 W 2.78, 4 La 2.78, 2 Co 2.86
2 Co 0.5000 0.5000 0.0000  4 La 2.78, 4 W 2.78, 2 Co 2.86
3 La 0.5000 0.0000 0.5000  8 Co 2.78, 2 La 2.86
4 W 0.0000 0.5000 0.5000  8 Co 2.78, 2 W 2.86

Output
Calculated formation energy   0.45 eV per atom
Crystal system   orthorhombic
VASP energy   -30.30 eV/cell
Energy above the most stable polymorph in this dataset   366.5 meV per atom



# LaCoW2

Crystalline LaCoW2 at its relaxed geometry (PBE-GGA, the Alexandria database).

Unit cell a=4.9051 b=4.9051 c=8.8784 alpha=73.96 beta=73.96 gamma=90.00
With the nearest neighbours (Å) after each atom.
Fractional positions:
1 Co 0.5000 0.5000 0.0000  4 W 2.38
2 Co 0.2500 0.7500 0.5000  4 W 2.38
3 W 0.3748 0.1250 0.2500  2 Co 2.38, 2 W 2.45
4 W 0.3752 0.6250 0.2500  2 Co 2.38, 2 W 2.45
5 W 0.3750 0.6252 0.7500  2 Co 2.38, 2 W 2.45
6 W 0.8750 0.6248 0.7500  2 Co 2.38, 2 W 2.45
7 La 0.0000 0.0000 0.0000  8 W 3.42, 4 Co 3.47
8 La 0.7500 0.2500 0.5000  8 W 3.42, 4 Co 3.47

Output
Calculated formation energy   1.02 eV per atom
Crystal system   tetragonal
VASP energy   -67.74 eV/cell
Energy above the most stable polymorph in this dataset   564.3 meV per atom



# LaCo2W

Crystalline LaCo2W at its relaxed geometry (PBE-GGA, the Alexandria database).

Unit cell a=4.5508 b=4.5508 c=4.5508 alpha=60.00 beta=60.00 gamma=60.00
With the nearest neighbours (Å) after each atom.
Fractional positions:
1 Co 0.2500 0.2500 0.2500  4 W 2.79, 4 La 2.79
2 Co 0.7500 0.7500 0.7500  4 La 2.79, 4 W 2.79
3 W 0.5000 0.5000 0.5000  8 Co 2.79
4 La 0.0000 0.0000 0.0000  8 Co 2.79

Output
Calculated formation energy   0.59 eV per atom
Crystal system   cubic
VASP energy   -29.75 eV/cell
Energy above the most stable polymorph in this dataset   504.6 meV per atom



# LaCoW2

Crystalline LaCoW2 at its relaxed geometry (PBE-GGA, the Alexandria database).

Unit cell a=5.6899 b=5.6899 c=2.8453 alpha=80.57 beta=80.57 gamma=123.80
With the nearest neighbours (Å) after each atom.
Fractional positions:
1 Co 0.5000 0.0000 0.5000  2 La 2.68, 2 Co 2.85, 4 W 2.97
2 La 0.0000 0.5000 0.5000  2 Co 2.68, 2 La 2.85, 4 W 2.97
3 W 0.0000 0.0000 0.0000  4 W 2.68-2.85, 2 La 2.97, 2 Co 2.97
4 W 0.5000 0.5000 0.0000  4 W 2.68-2.85, 2 Co 2.97, 2 La 2.97

Output
Calculated formation energy   0.77 eV per atom
Crystal system   monoclinic
VASP energy   -34.86 eV/cell
Energy above the most stable polymorph in this dataset   317.5 meV per atom



# LaCoW2

Crystalline LaCoW2 at its relaxed geometry (PBE-GGA, the Alexandria database).

Unit cell a=2.8201 b=2.8201 c=8.9150 alpha=90.00 beta=90.00 gamma=90.05
With the nearest neighbours (Å) after each atom.
Fractional positions:
1 Co 0.5000 0.5000 0.2500  8 W 2.62, 4 Co 2.82
2 La 0.5000 0.5000 0.7500  4 La 2.82
3 W 0.0000 0.0000 0.0593  4 Co 2.62, 4 W 2.82
4 W 0.0000 0.0000 0.4407  4 Co 2.62, 4 W 2.82

Output
Calculated formation energy   0.56 eV per atom
Crystal system   tetragonal
VASP energy   -35.70 eV/cell
Energy above the most stable polymorph in this dataset   107.2 meV per atom



# La2CoW

Crystalline La2CoW at its relaxed geometry (PBE-GGA, the Alexandria database).

Unit cell a=8.7393 b=8.7393 c=8.7393 alpha=23.37 beta=23.37 gamma=23.37
With the nearest neighbours (Å) after each atom.
Fractional positions:
1 Co 0.7500 0.7500 0.7500  6 La 2.79
2 La 0.0091 0.0091 0.0091  3 Co 2.79
3 La 0.4909 0.4909 0.4909  3 Co 2.79
4 W 0.2500 0.2500 0.2500  6 La 3.12

Output
Calculated formation energy   0.77 eV per atom
Crystal system   trigonal
VASP energy   -26.83 eV/cell
Energy above the most stable polymorph in this dataset   564.8 meV per atom



# LaCoW2

Crystalline LaCoW2 at its relaxed geometry (PBE-GGA, the Alexandria database).

Unit cell a=6.2859 b=6.2859 c=6.2859 alpha=154.60 beta=136.50 gamma=51.05
With the nearest neighbours (Å) after each atom.
Fractional positions:
1 Co 0.7500 0.2500 0.5000  4 W 2.69, 4 La 2.71, 2 Co 2.76
2 La 0.2500 0.7500 0.5000  4 Co 2.71, 2 La 2.76
3 W 0.9537 0.9537 0.0000  2 Co 2.69, 6 W 2.76-2.91
4 W 0.5463 0.5463 0.0000  2 Co 2.69, 6 W 2.76-2.91

Output
Calculated formation energy   0.51 eV per atom
Crystal system   orthorhombic
VASP energy   -35.88 eV/cell
Energy above the most stable polymorph in this dataset   62.2 meV per atom



# La2CoW

Crystalline La2CoW at its relaxed geometry (PBE-GGA, the Alexandria database).

Unit cell a=4.9087 b=4.9087 c=4.9087 alpha=60.00 beta=60.00 gamma=60.00
With the nearest neighbours (Å) after each atom.
Fractional positions:
1 Co 0.5000 0.5000 0.5000  4 W 3.01, 4 La 3.01
2 La 0.0000 0.0000 0.0000  4 La 3.01, 4 W 3.01
3 La 0.2500 0.2500 0.2500  4 Co 3.01, 4 La 3.01
4 W 0.7500 0.7500 0.7500  4 Co 3.01, 4 La 3.01

Output
Calculated formation energy   0.68 eV per atom
Crystal system   cubic
VASP energy   -27.17 eV/cell
Energy above the most stable polymorph in this dataset   477.5 meV per atom



# LaCoW

Crystalline LaCoW at its relaxed geometry (PBE-GGA, the Alexandria database).

Unit cell a=6.3431 b=6.3431 c=3.1197 alpha=75.76 beta=75.76 gamma=28.47
With the nearest neighbours (Å) after each atom.
Fractional positions:
1 Co 0.0355 0.0355 0.9645  4 W 2.47
2 La 0.3350 0.3350 0.6650  4 La 3.12, 4 Co 3.25, 4 W 3.29
3 W 0.6296 0.6296 0.3704  4 Co 2.47

Output
Calculated formation energy   0.33 eV per atom
Crystal system   tetragonal
VASP energy   -23.99 eV/cell
Energy above the most stable polymorph in this dataset   35.5 meV per atom



# LaCo2W

Crystalline LaCo2W at its relaxed geometry (PBE-GGA, the Alexandria database).

Unit cell a=5.2944 b=5.2944 c=5.2944 alpha=137.89 beta=137.89 gamma=61.08
With the nearest neighbours (Å) after each atom.
Fractional positions:
1 Co 0.0000 0.0000 0.0000  4 La 2.69, 4 Co 2.97, 4 W 2.97
2 Co 0.2500 0.7500 0.5000  4 W 2.69, 4 La 2.97, 4 Co 2.97
3 La 0.5000 0.5000 0.0000  8 Co 2.69-2.97, 4 W 2.97
4 W 0.7500 0.2500 0.5000  8 Co 2.69-2.97, 4 La 2.97

Output
Calculated formation energy   0.71 eV per atom
Crystal system   tetragonal
VASP energy   -29.24 eV/cell
Energy above the most stable polymorph in this dataset   631.3 meV per atom



# LaCo3W

Crystalline LaCo3W at its relaxed geometry (PBE-GGA, the Alexandria database).

Unit cell a=4.5543 b=4.5543 c=4.5543 alpha=90.00 beta=90.00 gamma=90.00
With the nearest neighbours (Å) after each atom.
Fractional positions:
1 Co 0.0000 0.5000 0.0000  2 W 2.28
2 Co 0.0000 0.0000 0.5000  2 W 2.28
3 Co 0.5000 0.0000 0.0000  2 W 2.28
4 W 0.0000 0.0000 0.0000  6 Co 2.28
5 La 0.5000 0.5000 0.5000  12 Co 3.22

Output
Calculated formation energy   0.64 eV per atom
Crystal system   cubic
VASP energy   -36.00 eV/cell
Energy above the most stable polymorph in this dataset   0.0 meV per atom



# La2CoW

Crystalline La2CoW at its relaxed geometry (PBE-GGA, the Alexandria database).

Unit cell a=3.5260 b=3.5221 c=8.2082 alpha=66.05 beta=90.00 gamma=90.00
With the nearest neighbours (Å) after each atom.
Fractional positions:
1 Co 0.5000 0.7500 0.7500  8 La 3.05-3.09
2 La 0.0000 0.0144 0.9884  4 Co 3.05-3.09, 4 W 3.14-3.21
3 La 0.0000 0.4856 0.5116  4 Co 3.05-3.09, 4 W 3.14-3.21
4 W 0.5000 0.2500 0.2500  8 La 3.14-3.21

Output
Calculated formation energy   0.59 eV per atom
Crystal system   monoclinic
VASP energy   -27.57 eV/cell
Energy above the most stable polymorph in this dataset   378.5 meV per atom



# LaYCo2

Crystalline LaYCo2 at its relaxed geometry (PBE-GGA, the Alexandria database).

Unit cell a=6.7726 b=6.7726 c=4.0444 alpha=72.63 beta=72.63 gamma=32.01
With the nearest neighbours (Å) after each atom.
Fractional positions:
1 Co 0.0810 0.0810 0.9190  2 Co 2.22
2 Co 0.6785 0.6785 0.8216  2 Co 2.22
3 La 0.4911 0.4911 0.5089  6 Co 2.97-3.08
4 Y 0.2494 0.2494 0.2505  6 Co 2.89-2.90

Output
Calculated formation energy   0.02 eV per atom
Crystal system   orthorhombic
VASP energy   -25.54 eV/cell
Energy above the most stable polymorph in this dataset   137.8 meV per atom